Entry 1:
The following is a GGA-PBE calculation of an optimized crystal structure of Tb5Pr8In, from Alexandria via LeMat-Bulk.

a = 8.616 Å, b = 8.616 Å, c = 9.210 Å
α = 121.01°, β = 121.01°, γ = 63.71°
Fractional coordinates of all 14 atoms:
Tb 0.000 0.000 0.000
Tb 0.290 0.609 0.122
Tb 0.391 0.710 0.878
Tb 0.579 0.249 0.755
Tb 0.751 0.421 0.245
Pr 0.003 0.859 0.583
Pr 0.084 0.443 0.660
Pr 0.141 0.997 0.417
Pr 0.267 0.384 0.351
Pr 0.404 0.134 0.960
Pr 0.557 0.916 0.340
Pr 0.616 0.733 0.649
Pr 0.866 0.596 0.040
In 0.738 0.262 0.500

Calculated values
DOS at the Fermi energy ... 19.8 states/eV per cell
Total magnetization ... 0.00 μB per formula unit
Formation enthalpy at 0 K ... 0.10 eV per atom
Calculated density ... 6.9 g/cm³
E ... -62.72 eV for the cell shown

***

Entry 2:
The following is a GGA-PBE calculation of an optimized crystal structure of Zr4Cl3, from Alexandria via LeMat-Bulk.

a = 5.728 Å, b = 5.728 Å, c = 5.206 Å
α = 90.00°, β = 90.00°, γ = 120.00°
Fractional coordinates of all 7 atoms:
Zr 0.000 0.000 0.233
Zr 0.000 0.000 0.767
Zr 0.333 0.667 0.000
Zr 0.667 0.333 0.000
Cl 0.000 0.500 0.500
Cl 0.500 0.000 0.500
Cl 0.500 0.500 0.500

Calculated values
DOS at the Fermi energy ... 6.9 states/eV per cell
Total magnetization ... 0.00 μB per formula unit
Raw formation energy ... -2.19 kcal/mol of atoms
Calculated density ... 5.3 g/cm³
E ... -40.40 eV for the cell shown

***

Entry 3:
The following is a GGA-PBE calculation of an optimized crystal structure of La12Dy6Pu, from Alexandria via LeMat-Bulk.

a = 9.671 Å, b = 9.671 Å, c = 9.671 Å
α = 110.83°, β = 110.83°, γ = 110.83°
Fractional coordinates of all 19 atoms:
La 0.057 0.581 0.373
La 0.102 0.154 0.742
La 0.154 0.742 0.102
La 0.258 0.898 0.846
La 0.373 0.057 0.581
La 0.419 0.627 0.943
La 0.581 0.373 0.057
La 0.627 0.943 0.419
La 0.742 0.102 0.154
La 0.846 0.258 0.898
La 0.898 0.846 0.258
La 0.943 0.419 0.627
Dy 0.214 0.316 0.468
Dy 0.316 0.468 0.214
Dy 0.468 0.214 0.316
Dy 0.532 0.786 0.684
Dy 0.684 0.532 0.786
Dy 0.786 0.684 0.532
Pu 0.000 0.000 0.000

Calculated values
DOS at the Fermi energy ... 38.0 states/eV per cell
Total magnetization ... 7.59 μB per formula unit
Formation enthalpy at 0 K ... 0.04 eV per atom
Calculated density ... 7.3 g/cm³
E ... -100.27 eV for the cell shown

***

Entry 4:
The following is a GGA-PBE calculation of an optimized crystal structure of ICl2F6, from Alexandria via LeMat-Bulk.

a = 4.673 Å, b = 6.323 Å, c = 7.112 Å
α = 82.62°, β = 86.84°, γ = 79.18°
Fractional coordinates of all 9 atoms:
I 0.000 0.000 0.000
Cl 0.421 0.762 0.672
Cl 0.579 0.238 0.328
F 0.039 0.290 0.875
F 0.207 0.633 0.571
F 0.305 0.016 0.185
F 0.695 0.984 0.815
F 0.793 0.367 0.429
F 0.961 0.710 0.125

Calculated values
DOS at the Fermi energy ... 0.3 states/eV per cell
Total magnetization ... 1.03 μB per formula unit
Raw formation energy ... -20.79 kcal/mol of atoms
Calculated density ... 2.5 g/cm³
E ... -24.58 eV for the cell shown

***

Entry 5:
The following is a GGA-PBE calculation of an optimized crystal structure of LaTbEr2Se4, from Alexandria via LeMat-Bulk.

a = 7.086 Å, b = 4.053 Å, c = 7.279 Å
α = 90.00°, β = 108.62°, γ = 90.00°
Fractional coordinates of all 8 atoms:
La 0.000 0.000 0.000
Tb 0.500 0.500 0.000
Er 0.000 0.500 0.500
Er 0.500 0.000 0.500
Se 0.253 0.000 0.738
Se 0.263 0.500 0.267
Se 0.737 0.500 0.733
Se 0.747 0.000 0.262

Calculated values
DOS at the Fermi energy ... 4.5 states/eV per cell
Total magnetization ... 0.01 μB per formula unit
Raw formation energy ... -41.18 kcal/mol of atoms
Calculated density ... 7.9 g/cm³
E ... -46.91 eV for the cell shown

***

Entry 6:
The following is a GGA-PBE calculation of an optimized crystal structure of ReRh, from Alexandria via LeMat-Bulk.

a = 7.323 Å, b = 5.193 Å, c = 4.684 Å
α = 90.00°, β = 90.00°, γ = 90.00°
Fractional coordinates of all 12 atoms:
Re 0.000 0.211 0.000
Re 0.175 0.076 0.492
Re 0.325 0.924 0.992
Re 0.500 0.789 0.500
Re 0.675 0.924 0.992
Re 0.825 0.076 0.492
Rh 0.000 0.709 0.824
Rh 0.178 0.574 0.319
Rh 0.322 0.426 0.819
Rh 0.500 0.291 0.324
Rh 0.678 0.426 0.819
Rh 0.822 0.574 0.319

Calculated values
Energy above the lowest structure with this stoichiometry ... 0.389 eV per formula unit
DOS at the Fermi energy ... 11.2 states/eV per cell
Total magnetization ... 0.00 μB per formula unit
Formation enthalpy at 0 K ... 0.02 eV per atom
Calculated density ... 16.2 g/cm³
E ... -118.59 eV for the cell shown

***

Entry 7:
The following is a GGA-PBE calculation of an optimized crystal structure of Tb7Zn2Ni2, from Alexandria via LeMat-Bulk.

a = 6.668 Å, b = 6.668 Å, c = 6.932 Å
α = 90.00°, β = 90.00°, γ = 110.53°
Fractional coordinates of all 11 atoms:
Tb 0.000 0.000 0.000
Tb 0.000 0.500 0.255
Tb 0.000 0.500 0.745
Tb 0.500 0.000 0.255
Tb 0.500 0.000 0.745
Tb 0.500 0.500 0.249
Tb 0.500 0.500 0.751
Zn 0.167 0.167 0.500
Zn 0.833 0.833 0.500
Ni 0.298 0.702 0.000
Ni 0.702 0.298 0.000

Calculated values
DOS at the Fermi energy ... 11.7 states/eV per cell
Total magnetization ... 0.00 μB per formula unit
Formation enthalpy at 0 K ... -0.14 eV per atom
Calculated density ... 7.8 g/cm³
E ... -48.06 eV for the cell shown

***

Entry 8:
The following is a GGA-PBE calculation of an optimized crystal structure of Tb3Dy2TmAs6, from Alexandria via LeMat-Bulk.

a = 9.210 Å, b = 9.210 Å, c = 8.237 Å
α = 102.90°, β = 102.90°, γ = 25.85°
Fractional coordinates of all 12 atoms:
Tb 0.000 0.000 0.000
Tb 0.333 0.333 0.666
Tb 0.667 0.667 0.334
Dy 0.334 0.334 0.167
Dy 0.666 0.666 0.833
Tm 0.000 0.000 0.500
As 0.165 0.165 0.583
As 0.167 0.167 0.083
As 0.500 0.500 0.253
As 0.500 0.500 0.747
As 0.833 0.833 0.917
As 0.835 0.835 0.417

Calculated values
DOS at the Fermi energy ... 1.8 states/eV per cell
Total magnetization ... 0.00 μB per formula unit
Formation enthalpy at 0 K ... -1.53 eV per atom
Calculated density ... 8.0 g/cm³
E ... -73.86 eV for the cell shown